The following is a DFT calculation (PBE-GGA) of a relaxed SbSeBr2 crystal.

a = 3.4555 Å, b = 3.4555 Å, c = 11.2893 Å
α = 90.00°, β = 90.00°, γ = 114.74°
Last column: magnetic moment on the atom in μB.
Sites, in units of the cell vectors:
Br  0.0000  0.0000  0.0592  0.00
Br  0.0000  0.0000  0.4408  0.00
Sb  0.5000  0.5000  0.2500  0.00
Se  0.5000  0.5000  0.7500  0.34

Properties
As for the total energy: -2.481 eV/atom. As for the density of states at the Fermi level: 3.33 states/eV/cell. The relative energy among the computed polymorphs is 505 meV per atom.